Here is crystalline K3Ga8Au3 at its relaxed geometry from the Alexandria database. Energies are from PBE.

a b c (Å): 21.2805 4.4061 8.1423
angles (deg): 90.00 112.34 90.00
Last column: nearest neighbours and their distance in Å.
Space group C2/m (No. 12)
Symmetry-distinct sites (fractional):
K 0.0000 0.0000 0.0000 x2  12 Ga 3.41-3.65, 4 Au 3.45
K 0.2470 0.0000 0.2553 x4  9 Ga 3.58-3.82, 3 Au 3.59-3.80
Ga 0.0046 0.5000 0.6844 x4  3 Au 2.65-2.73, 2 Ga 2.66-2.93
Ga 0.1200 0.0000 0.4615 x4  1 Ga 2.65, 3 Au 2.65-2.69
Ga 0.1223 0.5000 0.9613 x4  3 Ga 2.61-2.66, 1 Au 2.62
Ga 0.1238 0.0000 0.7900 x4  3 Ga 2.61-2.65, 1 Au 2.79
Au 0.0000 0.0000 0.5000 x2  8 Ga 2.65-2.79
Au 0.1175 0.5000 0.2784 x4  4 Ga 2.62-2.73

Properties
Magnetic moment in μB per atom: 0.00
ΔH_f (0 K) in eV per atom: -0.2211
E in eV per atom: -2.89